K3TiSn at its PBEsol-relaxed geometry. Source: Alexandria via LeMat-Bulk, functional SCAN.

```
K3TiSn
1.0
6.086 0.000 0.000
0.000 6.086 0.000
0.000 0.000 6.086
K Sn Ti
3 1 1
direct
0.000 0.500 0.000
0.000 0.000 0.500
0.500 0.000 0.000
0.500 0.500 0.500
0.000 0.000 0.000
```

Output
Energy relative to the elements in meV/atom: 994.9